Record 1
# Y2Zr4Pb3C3

Y2Zr4Pb3C3 after structural relaxation (PBE, OQMD via LeMat-Bulk).

- ρ (g/cm³) = 8.27
- V (Å³ per atom) = 20.1
- space group = C2/c, No. 15
- size of the total moment (μB/atom) = 0.000
- energy (eV/atom) = -7.785

The structure in CIF format:
```
data_Y2Zr4Pb3C3
_chemical_formula_sum 'Y4 Zr8 Pb6 C6'
_symmetry_space_group_name_H-M 'P 1'
_symmetry_Int_Tables_number 1
_cell_length_a 6.035
_cell_length_b 6.035
_cell_length_c 15.674
_cell_angle_alpha 101.20
_cell_angle_beta 101.20
_cell_angle_gamma 60.01
loop_
_symmetry_equiv_pos_as_xyz
'x,y,z'
loop_
_atom_site_label
_atom_site_type_symbol
_atom_site_fract_x
_atom_site_fract_y
_atom_site_fract_z
Y1 Y 0.031 0.869 0.590
Y2 Y 0.131 0.969 0.910
Y3 Y 0.869 0.031 0.090
Y4 Y 0.969 0.131 0.410
Zr1 Zr 0.194 0.354 0.078
Zr2 Zr 0.301 0.479 0.422
Zr3 Zr 0.354 0.194 0.578
Zr4 Zr 0.479 0.301 0.922
Zr5 Zr 0.521 0.699 0.078
Zr6 Zr 0.646 0.806 0.422
Zr7 Zr 0.699 0.521 0.578
Zr8 Zr 0.806 0.646 0.922
Pb1 Pb 0.084 0.275 0.752
Pb2 Pb 0.275 0.084 0.252
Pb3 Pb 0.441 0.559 0.750
Pb4 Pb 0.559 0.441 0.250
Pb5 Pb 0.725 0.916 0.748
Pb6 Pb 0.916 0.725 0.248
C1 C 0.000 0.500 0.500
C2 C 0.175 0.650 0.000
C3 C 0.350 0.825 0.500
C4 C 0.500 0.000 0.000
C5 C 0.650 0.175 0.500
C6 C 0.825 0.350 0.000
```



Record 2
# DyAgSnS3

DyAgSnS3 after structural relaxation (PBE, OQMD via LeMat-Bulk).

- ρ (g/cm³) = 5.52
- V (Å³ per atom) = 24.3
- space group = Pnma, No. 62
- E above lowest polymorph (meV/atom) = 0.0
- size of the total moment (μB/atom) = 0.000

The structure in CIF format:
```
data_DyAgSnS3
_chemical_formula_sum 'Dy4 Ag4 Sn4 S12'
_symmetry_space_group_name_H-M 'P 1'
_symmetry_Int_Tables_number 1
_cell_length_a 11.907
_cell_length_b 3.948
_cell_length_c 12.417
_cell_angle_alpha 90.00
_cell_angle_beta 90.00
_cell_angle_gamma 90.00
loop_
_symmetry_equiv_pos_as_xyz
'x,y,z'
loop_
_atom_site_label
_atom_site_type_symbol
_atom_site_fract_x
_atom_site_fract_y
_atom_site_fract_z
Dy1 Dy 0.013 0.250 0.151
Dy2 Dy 0.487 0.750 0.651
Dy3 Dy 0.513 0.250 0.349
Dy4 Dy 0.987 0.750 0.849
Ag1 Ag 0.197 0.750 0.390
Ag2 Ag 0.303 0.250 0.890
Ag3 Ag 0.697 0.750 0.110
Ag4 Ag 0.803 0.250 0.610
Sn1 Sn 0.172 0.250 0.582
Sn2 Sn 0.328 0.750 0.082
Sn3 Sn 0.672 0.250 0.918
Sn4 Sn 0.828 0.750 0.418
S1 S 0.013 0.750 0.307
S2 S 0.106 0.250 0.950
S3 S 0.245 0.250 0.202
S4 S 0.255 0.750 0.702
S5 S 0.394 0.750 0.450
S6 S 0.487 0.250 0.807
S7 S 0.513 0.750 0.193
S8 S 0.606 0.250 0.550
S9 S 0.745 0.250 0.298
S10 S 0.755 0.750 0.798
S11 S 0.894 0.750 0.050
S12 S 0.987 0.250 0.693
```



Record 3
# B3W

B3W after structural relaxation (PBE, OQMD via LeMat-Bulk).

- ρ (g/cm³) = 9.72
- V (Å³ per atom) = 9.2
- space group = P6_3/mmc, No. 194
- E above lowest polymorph (meV/atom) = 8.9
- size of the total moment (μB/atom) = 0.000

The structure in CIF format:
```
data_B3W
_chemical_formula_sum 'B12 W4'
_symmetry_space_group_name_H-M 'P 1'
_symmetry_Int_Tables_number 1
_cell_length_a 5.197
_cell_length_b 5.197
_cell_length_c 6.321
_cell_angle_alpha 90.00
_cell_angle_beta 90.00
_cell_angle_gamma 120.00
loop_
_symmetry_equiv_pos_as_xyz
'x,y,z'
loop_
_atom_site_label
_atom_site_type_symbol
_atom_site_fract_x
_atom_site_fract_y
_atom_site_fract_z
B1 B 0.000 0.335 0.000
B2 B 0.000 0.335 0.500
B3 B 0.000 0.665 0.000
B4 B 0.000 0.665 0.500
B5 B 0.335 0.000 0.000
B6 B 0.335 0.000 0.500
B7 B 0.335 0.335 0.000
B8 B 0.335 0.335 0.500
B9 B 0.665 0.000 0.000
B10 B 0.665 0.000 0.500
B11 B 0.665 0.665 0.000
B12 B 0.665 0.665 0.500
W1 W 0.000 0.000 0.250
W2 W 0.000 0.000 0.750
W3 W 0.333 0.667 0.250
W4 W 0.667 0.333 0.750
```



Record 4
# NdSmNi4

NdSmNi4 after structural relaxation (PBE, OQMD via LeMat-Bulk).

- ρ (g/cm³) = 9.19
- V (Å³ per atom) = 15.9
- space group = F-43m, No. 216
- E above lowest polymorph (meV/atom) = 0.0
- size of the total moment (μB/atom) = 0.000

The structure in CIF format:
```
data_NdSmNi4
_chemical_formula_sum 'Nd1 Sm1 Ni4'
_symmetry_space_group_name_H-M 'P 1'
_symmetry_Int_Tables_number 1
_cell_length_a 5.134
_cell_length_b 5.134
_cell_length_c 5.134
_cell_angle_alpha 60.00
_cell_angle_beta 60.00
_cell_angle_gamma 60.00
loop_
_symmetry_equiv_pos_as_xyz
'x,y,z'
loop_
_atom_site_label
_atom_site_type_symbol
_atom_site_fract_x
_atom_site_fract_y
_atom_site_fract_z
Nd1 Nd 0.000 0.000 0.000
Sm1 Sm 0.250 0.250 0.250
Ni1 Ni 0.125 0.625 0.625
Ni2 Ni 0.625 0.125 0.625
Ni3 Ni 0.625 0.625 0.125
Ni4 Ni 0.625 0.625 0.625
```



Look up the size of the total moment of the fourth one. 0.000 μB/atom



Which value of V does entry 3 give? 9.2 Å³ per atom



Please write out number 2 again, unchanged.
# DyAgSnS3

DyAgSnS3 after structural relaxation (PBE, OQMD via LeMat-Bulk).

- ρ (g/cm³) = 5.52
- V (Å³ per atom) = 24.3
- space group = Pnma, No. 62
- E above lowest polymorph (meV/atom) = 0.0
- size of the total moment (μB/atom) = 0.000

The structure in CIF format:
```
data_DyAgSnS3
_chemical_formula_sum 'Dy4 Ag4 Sn4 S12'
_symmetry_space_group_name_H-M 'P 1'
_symmetry_Int_Tables_number 1
_cell_length_a 11.907
_cell_length_b 3.948
_cell_length_c 12.417
_cell_angle_alpha 90.00
_cell_angle_beta 90.00
_cell_angle_gamma 90.00
loop_
_symmetry_equiv_pos_as_xyz
'x,y,z'
loop_
_atom_site_label
_atom_site_type_symbol
_atom_site_fract_x
_atom_site_fract_y
_atom_site_fract_z
Dy1 Dy 0.013 0.250 0.151
Dy2 Dy 0.487 0.750 0.651
Dy3 Dy 0.513 0.250 0.349
Dy4 Dy 0.987 0.750 0.849
Ag1 Ag 0.197 0.750 0.390
Ag2 Ag 0.303 0.250 0.890
Ag3 Ag 0.697 0.750 0.110
Ag4 Ag 0.803 0.250 0.610
Sn1 Sn 0.172 0.250 0.582
Sn2 Sn 0.328 0.750 0.082
Sn3 Sn 0.672 0.250 0.918
Sn4 Sn 0.828 0.750 0.418
S1 S 0.013 0.750 0.307
S2 S 0.106 0.250 0.950
S3 S 0.245 0.250 0.202
S4 S 0.255 0.750 0.702
S5 S 0.394 0.750 0.450
S6 S 0.487 0.250 0.807
S7 S 0.513 0.750 0.193
S8 S 0.606 0.250 0.550
S9 S 0.745 0.250 0.298
S10 S 0.755 0.750 0.798
S11 S 0.894 0.750 0.050
S12 S 0.987 0.250 0.693
```



Which of these has the highest ρ? B3W